No. 1
Ta4TlGaC2 | PBE-GGA | optimized geometry

a b c (Å): 3.1695 3.1695 14.0544
angles (deg): 90.00 90.00 120.00
With the nearest neighbours (Å) after each atom.
Positions (direct):
Ta 0.0000 0.0000 0.1539  3 C 2.19
Ta 0.0000 0.0000 0.8461  3 C 2.19
Ta 0.3333 0.6667 0.3248  3 C 2.18
Ta 0.3333 0.6667 0.6752  3 C 2.18
Tl 0.0000 0.0000 0.5000  6 Ta 3.07, 6 Tl 3.17
Ga 0.3333 0.6667 0.0000  6 Ta 2.83, 6 Ga 3.17
C 0.6667 0.3333 0.2399  6 Ta 2.18-2.19
C 0.6667 0.3333 0.7601  6 Ta 2.18-2.19

Calculated values
Magnetization: 0.003 Bohr magnetons per cell
DFT total energy: -9.271 eV/atom


No. 2
Ta4ZnGaC2 | PBE-GGA | optimized geometry

a b c (Å): 3.1281 3.1281 13.6503
angles (deg): 90.00 90.00 120.00
With the nearest neighbours (Å) after each atom.
Positions (direct):
Ta 0.0000 0.0000 0.1599  3 C 2.19
Ta 0.0000 0.0000 0.8401  3 C 2.19
Ta 0.3333 0.6667 0.3387  3 C 2.17
Ta 0.3333 0.6667 0.6613  3 C 2.17
Zn 0.0000 0.0000 0.5000  6 Ta 2.85, 6 Zn 3.13
Ga 0.3333 0.6667 0.0000  6 Ta 2.83, 6 Ga 3.13
C 0.6667 0.3333 0.2507  6 Ta 2.17-2.19
C 0.6667 0.3333 0.7493  6 Ta 2.17-2.19

Calculated values
Magnetization: 0.003 Bohr magnetons per cell
DFT total energy: -9.224 eV/atom


No. 3
ZrTaGaC | PBE-GGA | optimized geometry

a b c (Å): 3.2123 3.2123 13.9513
angles (deg): 90.00 90.00 120.00
With the nearest neighbours (Å) after each atom.
Positions (direct):
Zr 0.0000 0.0000 0.1649  3 C 2.29
Zr 0.0000 0.0000 0.8351  3 C 2.29
Ta 0.6667 0.3333 0.3460  3 C 2.20
Ta 0.6667 0.3333 0.6540  3 C 2.20
Ga 0.0000 0.0000 0.5000  6 Ta 2.84
Ga 0.6667 0.3333 0.0000  6 Zr 2.95, 6 Ga 3.21
C 0.3333 0.6667 0.2609  3 Ta 2.20, 3 Zr 2.29
C 0.3333 0.6667 0.7391  3 Ta 2.20, 3 Zr 2.29

Calculated values
Magnetization: 0.007 Bohr magnetons per cell
DFT total energy: -8.797 eV/atom


No. 4
Zr4Ta2Ga3C3 | PBE-GGA | optimized geometry

a b c (Å): 5.6571 5.6571 14.2688
angles (deg): 101.49 101.49 60.07
With the nearest neighbours (Å) after each atom.
Positions (direct):
Zr 0.0370 0.1937 0.0951  3 C 2.31-2.32
Zr 0.1298 0.3014 0.4048  3 C 2.31-2.32
Zr 0.1937 0.0370 0.5951  3 C 2.31-2.32
Zr 0.3014 0.1298 0.9048  3 C 2.31-2.32
Zr 0.6986 0.8702 0.0952  3 C 2.31-2.32
Zr 0.8063 0.9630 0.4049  3 C 2.31-2.32
Zr 0.8702 0.6986 0.5952  3 C 2.31-2.32
Zr 0.9630 0.8063 0.9049  3 C 2.31-2.32
Ta 0.3555 0.5269 0.0814  3 C 2.17-2.18
Ta 0.4731 0.6445 0.4186  3 C 2.17-2.18
Ta 0.5269 0.3555 0.5814  3 C 2.17-2.18
Ta 0.6445 0.4731 0.9186  3 C 2.17-2.18
Ga 0.1271 0.8729 0.2500  2 Ta 2.85, 2 Ga 2.86, 4 Zr 2.94
Ga 0.2895 0.4192 0.7515  2 Ga 2.86, 2 Ta 2.87-2.88, 4 Zr 2.94-2.95
Ga 0.4192 0.2895 0.2515  2 Ga 2.86, 2 Ta 2.87-2.88, 4 Zr 2.94-2.95
Ga 0.5808 0.7105 0.7485  2 Ga 2.86, 2 Ta 2.87-2.88, 4 Zr 2.94-2.95
Ga 0.7105 0.5808 0.2485  2 Ga 2.86, 2 Ta 2.87-2.88, 4 Zr 2.94-2.95
Ga 0.8729 0.1271 0.7500  2 Ta 2.85, 2 Ga 2.86, 4 Zr 2.94
C 0.0000 0.5000 0.0000  2 Ta 2.17, 4 Zr 2.31-2.32
C 0.1761 0.6620 0.4999  2 Ta 2.18, 4 Zr 2.31-2.32
C 0.3380 0.8239 0.0001  2 Ta 2.18, 4 Zr 2.31-2.32
C 0.5000 0.0000 0.5000  2 Ta 2.17, 4 Zr 2.31-2.32
C 0.6620 0.1761 0.9999  2 Ta 2.18, 4 Zr 2.31-2.32
C 0.8239 0.3380 0.5001  2 Ta 2.18, 4 Zr 2.31-2.32

Calculated values
Magnetization: 0.005 Bohr magnetons per cell
DFT total energy: -8.593 eV/atom